Entry from the Alexandria database: an optimized crystal structure of KMoPb2 (PBE-GGA).

Output
ΔH_f (0 K)   886 meV/atom
DFT total energy   -3.95 eV/atom
Calculated volume   116 Å³ per cell
Spin magnetization   3.892 μB per formula unit
Crystal system   tetragonal

```
KMoPb2
1.0
6.0752 -0.0003 0.0000
2.2963 5.6245 0.0000
-4.1857 -2.8121 3.3882
Mo K Pb
1 1 2
Direct
0.7500 0.2500 0.5000
0.5000 0.5000 0.0000
0.0000 0.0000 0.0000
0.2500 0.7500 0.5000
```